[1]
# V4IrOs2 (GGA-PBE, optimized geometry)
# DOS(E_F): 24.09 states/eV per cell
# VASP energy: -60.787 eV/f.u.
data_V4IrOs2
_space_group_name_H-M_alt 'I 4/m m m'
_space_group_IT_number 139
_space_group_name_Hall '-I 4 2'
_cell_length_a 4.536
_cell_length_b 4.536
_cell_length_c 12.330
_cell_angle_alpha 90.00
_cell_angle_beta 90.00
_cell_angle_gamma 90.00
loop_
_atom_site_label
_atom_site_type_symbol
_atom_site_fract_x
_atom_site_fract_y
_atom_site_fract_z
V1 V 0.000 0.000 0.200
V2 V 0.000 0.500 0.000
Ir1 Ir 0.000 0.000 0.000
Os1 Os 0.000 0.000 0.387

[2]
# V4Ir2Os (GGA-PBE, optimized geometry)
# DOS(E_F): 22.18 states/eV per cell
# VASP energy: -59.755 eV/f.u.
data_V4Ir2Os
_space_group_name_H-M_alt 'I 4/m m m'
_space_group_IT_number 139
_space_group_name_Hall '-I 4 2'
_cell_length_a 4.534
_cell_length_b 4.534
_cell_length_c 12.402
_cell_angle_alpha 90.00
_cell_angle_beta 90.00
_cell_angle_gamma 90.00
loop_
_atom_site_label
_atom_site_type_symbol
_atom_site_fract_x
_atom_site_fract_y
_atom_site_fract_z
V1 V 0.000 0.000 0.196
V2 V 0.000 0.500 0.000
Ir1 Ir 0.000 0.000 0.386
Os1 Os 0.000 0.000 0.000

[3]
# VIr4Os (GGA-PBE, optimized geometry)
# DOS(E_F): 11.55 states/eV per cell
# distance to the lowest polymorph of the same formula: 0 meV per atom
data_VIr4Os
_space_group_name_H-M_alt 'C m m m'
_space_group_IT_number 65
_space_group_name_Hall '-C 2 2'
_cell_length_a 3.852
_cell_length_b 11.542
_cell_length_c 3.849
_cell_angle_alpha 90.00
_cell_angle_beta 90.00
_cell_angle_gamma 90.00
loop_
_atom_site_label
_atom_site_type_symbol
_atom_site_fract_x
_atom_site_fract_y
_atom_site_fract_z
V1 V 0.000 0.000 0.000
Ir1 Ir 0.000 0.162 0.500
Ir2 Ir 0.000 0.338 0.000
Os1 Os 0.000 0.500 0.500

[4]
# VIr3Os (GGA-PBE, optimized geometry)
# DOS(E_F): 7.26 states/eV per cell
# distance to the lowest polymorph of the same formula: 1793 meV per atom
data_VIr3Os
_space_group_name_H-M_alt 'P m -3 m'
_space_group_IT_number 221
_space_group_name_Hall '-P 4 2 3'
_cell_length_a 4.454
_cell_length_b 4.454
_cell_length_c 4.454
_cell_angle_alpha 90.00
_cell_angle_beta 90.00
_cell_angle_gamma 90.00
loop_
_atom_site_label
_atom_site_type_symbol
_atom_site_fract_x
_atom_site_fract_y
_atom_site_fract_z
V1 V 0.000 0.000 0.000
Ir1 Ir 0.000 0.000 0.500
Os1 Os 0.500 0.500 0.500

[5]
# V2Ir2Os (GGA-PBE, optimized geometry)
# DOS(E_F): 9.63 states/eV per cell
# distance to the lowest polymorph of the same formula: 106 meV per atom
data_V2Ir2Os
_space_group_name_H-M_alt 'P 4/m b m'
_space_group_IT_number 127
_space_group_name_Hall '-P 4 2ab'
_cell_length_a 7.265
_cell_length_b 7.265
_cell_length_c 2.722
_cell_angle_alpha 90.00
_cell_angle_beta 90.00
_cell_angle_gamma 90.00
loop_
_atom_site_label
_atom_site_type_symbol
_atom_site_fract_x
_atom_site_fract_y
_atom_site_fract_z
V1 V 0.121 0.379 0.000
Ir1 Ir 0.176 0.676 0.500
Os1 Os 0.000 0.000 0.000

[6]
# VIr4Os2 (GGA-PBE, optimized geometry)
# DOS(E_F): 48.74 states/eV per cell
# VASP energy: -66.067 eV/f.u.
data_VIr4Os2
_space_group_name_H-M_alt 'F d d 2'
_space_group_IT_number 43
_space_group_name_Hall 'F 2 -2d'
_cell_length_a 7.720
_cell_length_b 20.590
_cell_length_c 5.332
_cell_angle_alpha 90.00
_cell_angle_beta 90.00
_cell_angle_gamma 90.00
loop_
_atom_site_label
_atom_site_type_symbol
_atom_site_fract_x
_atom_site_fract_y
_atom_site_fract_z
V1 V 0.000 0.000 0.000
Ir1 Ir 0.100 0.408 0.769
Ir2 Ir 0.110 0.407 0.254
Os1 Os 0.098 0.275 0.767

[7]
# V2Ir2Os (GGA-PBE, optimized geometry)
# DOS(E_F): 10.95 states/eV per cell
# distance to the lowest polymorph of the same formula: 0 meV per atom
data_V2Ir2Os
_space_group_name_H-M_alt 'P 4/m b m'
_space_group_IT_number 127
_space_group_name_Hall '-P 4 2ab'
_cell_length_a 7.211
_cell_length_b 7.211
_cell_length_c 2.783
_cell_angle_alpha 90.00
_cell_angle_beta 90.00
_cell_angle_gamma 90.00
loop_
_atom_site_label
_atom_site_type_symbol
_atom_site_fract_x
_atom_site_fract_y
_atom_site_fract_z
V1 V 0.168 0.332 0.000
Ir1 Ir 0.132 0.632 0.500
Os1 Os 0.000 0.000 0.500

[8]
# VIr3Os (GGA-PBE, optimized geometry)
# DOS(E_F): 18.44 states/eV per cell
# distance to the lowest polymorph of the same formula: 7 meV per atom
data_VIr3Os
_space_group_name_H-M_alt 'C 1 2/m 1'
_space_group_IT_number 12
_cell_length_a 14.050
_cell_length_b 4.367
_cell_length_c 4.749
_cell_angle_alpha 90.00
_cell_angle_beta 93.10
_cell_angle_gamma 90.00
loop_
_space_group_symop_operation_xyz
'x,y,z'
'-x,-y,-z'
'-x,y,-z'
'x,-y,z'
'x+1/2,y+1/2,z'
'-x+1/2,-y+1/2,-z'
'-x+1/2,y+1/2,-z'
'x+1/2,-y+1/2,z'
loop_
_atom_site_label
_atom_site_type_symbol
_atom_site_fract_x
_atom_site_fract_y
_atom_site_fract_z
V1 V 0.067 0.000 0.152
Ir1 Ir 0.047 0.500 0.769
Ir2 Ir 0.149 0.000 0.650
Ir3 Ir 0.244 0.500 0.832
Os1 Os 0.153 0.500 0.316